The following is a PBEsol calculation of crystalline ZrCdHg at its relaxed geometry, from Alexandria via LeMat-Bulk.

a = 4.7595 Å, b = 4.7595 Å, c = 3.1131 Å
α = 90.00°, β = 90.00°, γ = 120.00°
Space group P-6m2 (No. 187)
Unique sites:
Zr  0.0000  0.0000  0.0000 (multiplicity 1)
Cd  0.6667  0.3333  0.5000 (multiplicity 1)
Hg  0.3333  0.6667  0.5000 (multiplicity 1)

Computed properties:
Total moment: 0.0 μB per formula unit
Mass density: 10.99 g cm⁻³
Formation energy: -0.176 eV per atom



The following is a PBEsol calculation of crystalline ZrCdHg at its relaxed geometry, from Alexandria via LeMat-Bulk.

a = 6.4898 Å, b = 6.4898 Å, c = 6.4898 Å
α = 90.00°, β = 90.00°, γ = 90.00°
Space group F-43m (No. 216)
Unique sites:
Zr  0.0000  0.0000  0.0000 (multiplicity 4)
Cd  0.2500  0.2500  0.7500 (multiplicity 4)
Hg  0.0000  0.0000  0.5000 (multiplicity 4)

Computed properties:
Total moment: 0.0 μB per formula unit
Mass density: 9.82 g cm⁻³
Formation energy: 0.132 eV per atom



The following is a PBEsol calculation of crystalline HoCd2 at its relaxed geometry, from Alexandria via LeMat-Bulk.

a = 4.8557 Å, b = 4.8557 Å, c = 3.3562 Å
α = 90.00°, β = 90.00°, γ = 120.00°
Space group P6/mmm (No. 191)
Unique sites:
Ho  0.0000  0.0000  0.0000 (multiplicity 1)
Cd  0.3333  0.6667  0.5000 (multiplicity 2)

Computed properties:
Total moment: 0.0 μB per formula unit
Mass density: 9.44 g cm⁻³
Formation energy: -0.346 eV per atom



The following is a PBEsol calculation of crystalline HoCd at its relaxed geometry, from Alexandria via LeMat-Bulk.

a = 3.6583 Å, b = 3.6583 Å, c = 3.6583 Å
α = 90.00°, β = 90.00°, γ = 90.00°
Space group Pm-3m (No. 221)
Unique sites:
Ho  0.0000  0.0000  0.0000 (multiplicity 1)
Cd  0.5000  0.5000  0.5000 (multiplicity 1)

Computed properties:
Total moment: 0.0 μB per formula unit
Mass density: 9.41 g cm⁻³
Formation energy: -0.341 eV per atom



The following is a PBEsol calculation of crystalline HoMgCd2 at its relaxed geometry, from Alexandria via LeMat-Bulk.

a = 7.0653 Å, b = 7.0653 Å, c = 7.0653 Å
α = 90.00°, β = 90.00°, γ = 90.00°
Space group Fm-3m (No. 225)
Unique sites:
Ho  0.0000  0.0000  0.0000 (multiplicity 4)
Mg  0.0000  0.0000  0.5000 (multiplicity 4)
Cd  0.2500  0.2500  0.2500 (multiplicity 8)

Computed properties:
Total moment: 0.0 μB per formula unit
Mass density: 7.80 g cm⁻³
Formation energy: -0.338 eV per atom



The following is a PBEsol calculation of crystalline HoCdNi4 at its relaxed geometry, from Alexandria via LeMat-Bulk.

a = 6.8970 Å, b = 6.8970 Å, c = 6.8970 Å
α = 90.00°, β = 90.00°, γ = 90.00°
Space group F-43m (No. 216)
Unique sites:
Ho  0.0000  0.0000  0.0000 (multiplicity 4)
Cd  0.2500  0.2500  0.7500 (multiplicity 4)
Ni  0.1242  0.1242  0.3758 (multiplicity 16)

Computed properties:
Total moment: 0.0 μB per formula unit
Mass density: 10.37 g cm⁻³
Formation energy: -0.385 eV per atom



The following is a PBEsol calculation of crystalline Ho2CdOs at its relaxed geometry, from Alexandria via LeMat-Bulk.

a = 6.9412 Å, b = 6.9412 Å, c = 6.9412 Å
α = 90.00°, β = 90.00°, γ = 90.00°
Space group Fm-3m (No. 225)
Unique sites:
Ho  0.2500  0.2500  0.2500 (multiplicity 8)
Cd  0.0000  0.0000  0.0000 (multiplicity 4)
Os  0.0000  0.0000  0.5000 (multiplicity 4)

Computed properties:
Total moment: 0.0 μB per formula unit
Mass density: 12.56 g cm⁻³
Formation energy: -0.246 eV per atom



The following is a PBEsol calculation of crystalline Ho2CdPd2 at its relaxed geometry, from Alexandria via LeMat-Bulk.

a = 7.5495 Å, b = 7.5495 Å, c = 3.6441 Å
α = 90.00°, β = 90.00°, γ = 90.00°
Space group P4/mbm (No. 127)
Unique sites:
Ho  0.1713  0.3287  0.0000 (multiplicity 4)
Cd  0.0000  0.0000  0.5000 (multiplicity 2)
Pd  0.1293  0.6293  0.5000 (multiplicity 4)

Computed properties:
Total moment: 0.0 μB per formula unit
Mass density: 10.48 g cm⁻³
Formation energy: -0.806 eV per atom



The following is a PBEsol calculation of crystalline Ho4CdPd at its relaxed geometry, from Alexandria via LeMat-Bulk.

a = 13.3741 Å, b = 13.3741 Å, c = 13.3741 Å
α = 90.00°, β = 90.00°, γ = 90.00°
Space group F-43m (No. 216)
Unique sites:
Ho  0.0000  0.0000  0.1846 (multiplicity 24)
Ho  0.0602  0.2500  0.7500 (multiplicity 24)
Ho  0.1043  0.1043  0.3957 (multiplicity 16)
Cd  0.1683  0.1683  0.1683 (multiplicity 16)
Pd  0.1051  0.1051  0.6051 (multiplicity 16)

Computed properties:
Total moment: 0.0 μB per formula unit
Mass density: 9.76 g cm⁻³
Formation energy: -0.464 eV per atom



The following is a PBEsol calculation of crystalline HoCdPd2 at its relaxed geometry, from Alexandria via LeMat-Bulk.

a = 6.6313 Å, b = 6.6313 Å, c = 6.6313 Å
α = 90.00°, β = 90.00°, γ = 90.00°
Space group Fm-3m (No. 225)
Unique sites:
Ho  0.0000  0.0000  0.0000 (multiplicity 4)
Cd  0.0000  0.0000  0.5000 (multiplicity 4)
Pd  0.2500  0.2500  0.2500 (multiplicity 8)

Computed properties:
Total moment: 0.0 μB per formula unit
Mass density: 11.17 g cm⁻³
Formation energy: -0.736 eV per atom



The following is a PBEsol calculation of crystalline Ho4CdPt at its relaxed geometry, from Alexandria via LeMat-Bulk.

a = 13.3784 Å, b = 13.3784 Å, c = 13.3784 Å
α = 90.00°, β = 90.00°, γ = 90.00°
Space group F-43m (No. 216)
Unique sites:
Ho  0.0000  0.0000  0.1859 (multiplicity 24)
Ho  0.0598  0.2500  0.2500 (multiplicity 24)
Ho  0.1031  0.1031  0.6031 (multiplicity 16)
Cd  0.1684  0.1684  0.8316 (multiplicity 16)
Pt  0.1063  0.1063  0.3937 (multiplicity 16)

Computed properties:
Total moment: 0.0 μB per formula unit
Mass density: 10.73 g cm⁻³
Formation energy: -0.619 eV per atom



The following is a PBEsol calculation of crystalline Ho4CdRh at its relaxed geometry, from Alexandria via LeMat-Bulk.

a = 13.2768 Å, b = 13.2768 Å, c = 13.2768 Å
α = 90.00°, β = 90.00°, γ = 90.00°
Space group F-43m (No. 216)
Unique sites:
Ho  0.0000  0.0000  0.1866 (multiplicity 24)
Ho  0.0604  0.2500  0.2500 (multiplicity 24)
Ho  0.1002  0.1002  0.6002 (multiplicity 16)
Cd  0.1691  0.1691  0.8309 (multiplicity 16)
Rh  0.1073  0.1073  0.3927 (multiplicity 16)

Computed properties:
Total moment: 0.0 μB per formula unit
Mass density: 9.93 g cm⁻³
Formation energy: -0.498 eV per atom



The following is a PBEsol calculation of crystalline Ho2CdS4 at its relaxed geometry, from Alexandria via LeMat-Bulk.

a = 11.0882 Å, b = 11.0882 Å, c = 11.0882 Å
α = 90.00°, β = 90.00°, γ = 90.00°
Space group Fd-3m (No. 227, origin choice 2)
Unique sites:
Ho  0.0000  0.0000  0.0000 (multiplicity 16)
Cd  0.1250  0.1250  0.6250 (multiplicity 8)
S  0.0071  0.0071  0.2429 (multiplicity 32)

Computed properties:
Total moment: 0.0 μB per formula unit
Mass density: 5.56 g cm⁻³
Uncorrected formation energy: -1678 meV per atom



The following is a PBEsol calculation of crystalline CdI2 at its relaxed geometry, from Alexandria via LeMat-Bulk.

a = 4.2104 Å, b = 4.2104 Å, c = 124.0544 Å
α = 90.00°, β = 90.00°, γ = 120.00°
Space group R3m (No. 160, hexagonal axes)
Unique sites:
Cd  0.0000  0.0000  0.0000 (multiplicity 3)
Cd  0.0000  0.0000  0.0555 (multiplicity 3)
Cd  0.0000  0.0000  0.1667 (multiplicity 3)
Cd  0.0000  0.0000  0.2222 (multiplicity 3)
Cd  0.0000  0.0000  0.4444 (multiplicity 3)
Cd  0.0000  0.0000  0.6111 (multiplicity 3)
I  0.0000  0.0000  0.0973 (multiplicity 3)
I  0.0000  0.0000  0.2639 (multiplicity 3)
I  0.0000  0.0000  0.3195 (multiplicity 3)
I  0.0000  0.0000  0.3751 (multiplicity 3)
I  0.0000  0.0000  0.4862 (multiplicity 3)
I  0.0000  0.0000  0.5417 (multiplicity 3)
I  0.0000  0.0000  0.6805 (multiplicity 3)
I  0.0000  0.0000  0.7360 (multiplicity 3)
I  0.0000  0.0000  0.7916 (multiplicity 3)
I  0.0000  0.0000  0.8471 (multiplicity 3)
I  0.0000  0.0000  0.9027 (multiplicity 3)
I  0.0000  0.0000  0.9582 (multiplicity 3)

Computed properties:
Total moment: 0.0 μB per formula unit
Mass density: 5.75 g cm⁻³
Uncorrected formation energy: -548 meV per atom



The following is a PBEsol calculation of crystalline CdI2 at its relaxed geometry, from Alexandria via LeMat-Bulk.

a = 4.2103 Å, b = 4.2103 Å, c = 41.3708 Å
α = 90.00°, β = 90.00°, γ = 120.00°
Space group R-3m (No. 166, hexagonal axes)
Unique sites:
Cd  0.0000  0.0000  0.0000 (multiplicity 3)
Cd  0.0000  0.0000  0.5000 (multiplicity 3)
I  0.0000  0.0000  0.1252 (multiplicity 6)
I  0.0000  0.0000  0.2919 (multiplicity 6)

Computed properties:
Total moment: 0.0 μB per formula unit
Mass density: 5.75 g cm⁻³
Uncorrected formation energy: -548 meV per atom



The following is a PBEsol calculation of crystalline CdI2 at its relaxed geometry, from Alexandria via LeMat-Bulk.

a = 4.2126 Å, b = 4.2126 Å, c = 20.6917 Å
α = 90.00°, β = 90.00°, γ = 120.00°
Space group P-3m1 (No. 164)
Unique sites:
Cd  0.0000  0.0000  0.0000 (multiplicity 1)
Cd  0.3333  0.6667  0.6670 (multiplicity 2)
I  0.0000  0.0000  0.2503 (multiplicity 2)
I  0.3333  0.6667  0.0827 (multiplicity 2)
I  0.3333  0.6667  0.4157 (multiplicity 2)

Computed properties:
Total moment: 0.0 μB per formula unit
Mass density: 5.74 g cm⁻³
Uncorrected formation energy: -550 meV per atom



The following is a PBEsol calculation of crystalline CdI2 at its relaxed geometry, from Alexandria via LeMat-Bulk.

a = 4.2088 Å, b = 4.2088 Å, c = 6.9034 Å
α = 90.00°, β = 90.00°, γ = 120.00°
Space group P-3m1 (No. 164)
Unique sites:
Cd  0.0000  0.0000  0.0000 (multiplicity 1)
I  0.3333  0.6667  0.2483 (multiplicity 2)

Computed properties:
Total moment: 0.0 μB per formula unit
Mass density: 5.74 g cm⁻³
Uncorrected formation energy: -548 meV per atom



The following is a PBEsol calculation of crystalline NbCdInI2 at its relaxed geometry, from Alexandria via LeMat-Bulk.

a = 5.7532 Å, b = 5.7532 Å, c = 5.3175 Å
α = 90.00°, β = 90.00°, γ = 90.00°
Space group P4/mmm (No. 123)
Unique sites:
Nb  0.0000  0.0000  0.0000 (multiplicity 1)
Cd  0.5000  0.5000  0.5000 (multiplicity 1)
In  0.5000  0.5000  0.0000 (multiplicity 1)
I  0.0000  0.5000  0.5000 (multiplicity 2)

Computed properties:
Total moment: 4.4 μB per formula unit
Mass density: 5.41 g cm⁻³
Uncorrected formation energy: 1059 meV per atom



The following is a PBEsol calculation of crystalline CdInI2O at its relaxed geometry, from Alexandria via LeMat-Bulk.

a = 5.9278 Å, b = 5.9278 Å, c = 3.9328 Å
α = 90.00°, β = 90.00°, γ = 90.00°
Space group P4/mmm (No. 123)
Unique sites:
Cd  0.0000  0.0000  0.0000 (multiplicity 1)
In  0.5000  0.5000  0.5000 (multiplicity 1)
I  0.0000  0.5000  0.5000 (multiplicity 2)
O  0.5000  0.5000  0.0000 (multiplicity 1)

Computed properties:
Total moment: 0.0 μB per formula unit
Mass density: 5.97 g cm⁻³
Uncorrected formation energy: -344 meV per atom



The following is a PBEsol calculation of crystalline CdInSb2I at its relaxed geometry, from Alexandria via LeMat-Bulk.

a = 5.4173 Å, b = 5.4173 Å, c = 6.0245 Å
α = 90.00°, β = 90.00°, γ = 90.00°
Space group P4/mmm (No. 123)
Unique sites:
Cd  0.0000  0.0000  0.0000 (multiplicity 1)
In  0.5000  0.5000  0.5000 (multiplicity 1)
Sb  0.0000  0.5000  0.0000 (multiplicity 2)
I  0.0000  0.0000  0.5000 (multiplicity 1)

Computed properties:
Total moment: 0.4 μB per formula unit
Mass density: 5.61 g cm⁻³
Uncorrected formation energy: 473 meV per atom



The following is a PBEsol calculation of crystalline KCdI2O at its relaxed geometry, from Alexandria via LeMat-Bulk.

a = 6.2186 Å, b = 6.2186 Å, c = 4.5582 Å
α = 90.00°, β = 90.00°, γ = 90.00°
Space group P4/mmm (No. 123)
Unique sites:
K  0.0000  0.0000  0.0000 (multiplicity 1)
Cd  0.5000  0.5000  0.5000 (multiplicity 1)
I  0.0000  0.5000  0.0000 (multiplicity 2)
O  0.0000  0.0000  0.5000 (multiplicity 1)

Computed properties:
Total moment: 1.5 μB per formula unit
Mass density: 3.97 g cm⁻³
Uncorrected formation energy: 232 meV per atom



The following is a PBEsol calculation of crystalline KCdRuI2 at its relaxed geometry, from Alexandria via LeMat-Bulk.

a = 5.4226 Å, b = 5.4226 Å, c = 5.1768 Å
α = 90.00°, β = 90.00°, γ = 90.00°
Space group P4/mmm (No. 123)
Unique sites:
K  0.0000  0.0000  0.0000 (multiplicity 1)
Cd  0.5000  0.5000  0.0000 (multiplicity 1)
Ru  0.5000  0.5000  0.5000 (multiplicity 1)
I  0.0000  0.5000  0.5000 (multiplicity 2)

Computed properties:
Total moment: 0.7 μB per formula unit
Mass density: 5.52 g cm⁻³
Uncorrected formation energy: -62 meV per atom



The following is a PBEsol calculation of crystalline La3CdI at its relaxed geometry, from Alexandria via LeMat-Bulk.

a = 5.9047 Å, b = 5.9047 Å, c = 5.9047 Å
α = 90.00°, β = 90.00°, γ = 90.00°
Space group Pm-3m (No. 221)
Unique sites:
La  0.0000  0.0000  0.5000 (multiplicity 3)
Cd  0.0000  0.0000  0.0000 (multiplicity 1)
I  0.5000  0.5000  0.5000 (multiplicity 1)

Computed properties:
Total moment: 0.0 μB per formula unit
Mass density: 5.29 g cm⁻³
Uncorrected formation energy: 165 meV per atom



The following is a PBEsol calculation of crystalline LiCdI3 at its relaxed geometry, from Alexandria via LeMat-Bulk.

a = 5.8278 Å, b = 5.8278 Å, c = 5.8278 Å
α = 90.00°, β = 90.00°, γ = 90.00°
Space group Pm-3m (No. 221)
Unique sites:
Li  0.0000  0.0000  0.0000 (multiplicity 1)
Cd  0.5000  0.5000  0.5000 (multiplicity 1)
I  0.0000  0.5000  0.5000 (multiplicity 3)

Computed properties:
Total moment: 0.0 μB per formula unit
Mass density: 4.20 g cm⁻³
Uncorrected formation energy: -481 meV per atom